Below is CaTa2P2 after structural relaxation, with properties calculated at the PBE-GGA level.

abc: 5.506 5.506 5.506
angles: 128.67 128.67 75.55
Positions (direct):
1 Ca 0.000 0.000 0.000
2 Ta 0.352 0.352 0.000
3 Ta 0.648 0.648 0.000
4 P 0.250 0.750 0.500
5 P 0.750 0.250 0.500

- Spin magnetization: 0.000 μB/atom
- ΔH_f (0 K): -1.848 eV per formula unit
- Space-group type: No. 139